The following is a DFT calculation (GGA-PBE) of a relaxed structure of Ge5Se6.

Computed properties:
Space group: C2/m (12)
Spin magnetization in μB/cell: 0.0
VASP energy in eV/atom: -4.19
Raw formation energy in eV per atom: -0.1938
Density of states at the Fermi level in states/eV/f.u.: 5.5
Calculated density in g/cm3: 5.411

Cell lengths 6.7539, 6.7957, 6.8128 Å; angles 80.77, 71.18, 60.20 degrees
Sites, in units of the cell vectors:
Ge 0.1778 0.6444 0.5000
Ge 0.8222 0.3556 0.5000
Ge 0.5000 0.0000 0.5000
Se 0.0879 0.3370 0.7446
Se 0.5751 0.3370 0.2554
Se 0.7412 0.0000 0.7560
Ge 0.3437 0.3126 0.0000
Se 0.4249 0.6630 0.7446
Se 0.9121 0.6630 0.2554
Se 0.2588 0.0000 0.2440
Ge 0.6563 0.6874 0.0000